No. 1
HfZr2Tc: relaxed, GGA-PBE.

Lattice parameters (Å, degrees): 5.0238 5.4756 5.8355 90.00 90.00 90.00
With the nearest neighbours (Å) after each atom.
Sites, in units of the cell vectors:
Zr (0.0000, 0.2455, 0.8604)  4 Zr 2.69-2.99
Tc (0.5000, 0.0000, 0.6302)  4 Hf 2.74-2.92
Zr (0.0000, 0.7545, 0.8604)  4 Zr 2.69-2.99
Zr (0.5000, 0.2545, 0.1396)  4 Zr 2.69-2.99
Hf (0.0000, 0.0000, 0.3757)  4 Tc 2.74-2.92
Tc (0.0000, 0.5000, 0.3698)  4 Hf 2.74-2.92
Hf (0.5000, 0.5000, 0.6243)  4 Tc 2.74-2.92
Zr (0.5000, 0.7455, 0.1396)  4 Zr 2.69-2.99

Output
E_form   0.014 eV per atom
Energy above the lowest structure with this stoichiometry   190 meV/atom



No. 2
Hf4ZrTc5: relaxed, GGA-PBE.

Lattice parameters (Å, degrees): 3.2701 3.2701 16.3295 90.00 90.00 90.00
With the nearest neighbours (Å) after each atom.
Sites, in units of the cell vectors:
Hf (0.0000, 0.0000, 0.7988)  8 Tc 2.83
Tc (0.5000, 0.5000, 0.1014)  4 Hf 2.83, 4 Zr 2.84
Hf (0.0000, 0.0000, 0.2012)  8 Tc 2.83
Hf (0.0000, 0.0000, 0.4004)  8 Tc 2.83
Tc (0.5000, 0.5000, 0.6993)  8 Hf 2.83
Tc (0.5000, 0.5000, 0.3007)  8 Hf 2.83
Tc (0.5000, 0.5000, 0.5000)  8 Hf 2.83
Tc (0.5000, 0.5000, 0.8986)  4 Hf 2.83, 4 Zr 2.84
Zr (0.0000, 0.0000, 0.0000)  8 Tc 2.84
Hf (0.0000, 0.0000, 0.5996)  8 Tc 2.83

Output
E_form   -0.453 eV per atom



No. 3
HfZr2Tc3: relaxed, GGA-PBE.

Lattice parameters (Å, degrees): 3.2834 3.2834 9.8525 90.00 90.00 90.00
With the nearest neighbours (Å) after each atom.
Sites, in units of the cell vectors:
Zr (0.5000, 0.5000, 0.8322)  8 Tc 2.85
Tc (0.0000, 0.0000, 0.0000)  8 Zr 2.85
Zr (0.5000, 0.5000, 0.1678)  8 Tc 2.85
Tc (0.0000, 0.0000, 0.3354)  4 Hf 2.83, 4 Zr 2.85
Tc (0.0000, 0.0000, 0.6646)  4 Hf 2.83, 4 Zr 2.85
Hf (0.5000, 0.5000, 0.5000)  8 Tc 2.83

Output
E_form   -0.394 eV per atom



No. 4
Hf2Zr6Tc: relaxed, GGA-PBE.

Lattice parameters (Å, degrees): 3.0364 8.5963 8.9030 118.87 106.00 90.00
With the nearest neighbours (Å) after each atom.
Sites, in units of the cell vectors:
Hf (0.3322, 0.6669, 0.3337)  2 Hf 3.04, 12 Zr 3.18-3.40
Zr (0.0971, 0.6769, 0.6774)  5 Zr 2.78-3.04, 1 Tc 2.97
Zr (0.9029, 0.3231, 0.3226)  5 Zr 2.78-3.04, 1 Tc 2.97
Zr (0.5000, 0.3237, 0.0000)  5 Zr 2.80-3.04
Tc (0.0000, 0.0000, 0.0000)  8 Zr 2.97-3.17, 2 Tc 3.04
Hf (0.6678, 0.3331, 0.6663)  2 Hf 3.04, 12 Zr 3.18-3.40
Zr (0.5000, 0.6763, 0.0000)  5 Zr 2.80-3.04
Zr (0.0971, 0.0005, 0.6774)  5 Zr 2.78-3.04, 1 Tc 2.97
Zr (0.9029, 0.9995, 0.3226)  5 Zr 2.78-3.04, 1 Tc 2.97

Output
E_form   0.106 eV per atom



no.,DOS(E_F) (states/eV/f.u.)
1,3.3
2,8.8
3,6.0
4,11.5